Entry 1:
Density functional theory data (PBE-GGA) for a relaxed ZrSnS2 crystal.

a = 7.1289 Å, b = 7.1289 Å, c = 7.1289 Å
α = 125.58°, β = 125.58°, γ = 80.58°
Closest atoms and distances in Å follow each position.
Fractional positions:
Zr 0.0000 0.0000 0.0000  4 S 2.47
Zr 0.7500 0.2500 0.5000  4 S 2.47
Sn 0.2500 0.7500 0.5000  4 S 2.92
Sn 0.5000 0.5000 0.0000  4 S 2.92
S 0.0675 0.6250 0.9425  2 Zr 2.47
S 0.3750 0.3175 0.4425  2 Zr 2.47
S 0.6825 0.1250 0.0575  2 Zr 2.47
S 0.8750 0.9325 0.5575  2 Zr 2.47

Computed properties:
Space-group type: I-42d (122)
E_form (uncorrected) (eV per atom): -0.55
Total magnetic moment (μB/atom): 0.00

***

Entry 2:
Density functional theory data (PBE-GGA) for a relaxed TbNdDy2Ho2 crystal.

a = 6.5756 Å, b = 17.7028 Å, c = 3.3871 Å
α = 90.00°, β = 90.00°, γ = 90.00°
Closest atoms and distances in Å follow each position.
Fractional positions:
Tb 0.0000 0.0000 0.0000  2 Tb 3.39, 4 Dy 3.47, 4 Nd 3.70
Tb 0.5000 0.5000 0.5000  2 Tb 3.39, 4 Dy 3.47, 4 Nd 3.70
Nd 0.0000 0.5000 0.0000  2 Dy 3.21, 2 Nd 3.39, 2 Ho 3.57
Nd 0.5000 0.0000 0.5000  2 Dy 3.21, 2 Nd 3.39, 2 Ho 3.57
Dy 0.2241 0.1496 0.5000  1 Nd 3.21, 4 Ho 3.32-3.41, 2 Dy 3.39, 2 Tb 3.47
Dy 0.2759 0.6496 0.0000  1 Nd 3.21, 4 Ho 3.32-3.41, 2 Dy 3.39, 2 Tb 3.47
Dy 0.7241 0.3504 0.0000  1 Nd 3.21, 4 Ho 3.32-3.41, 2 Dy 3.39, 2 Tb 3.47
Dy 0.7759 0.8504 0.5000  1 Nd 3.21, 4 Ho 3.32-3.41, 2 Dy 3.39, 2 Tb 3.47
Ho 0.2269 0.3165 0.0000  4 Dy 3.32-3.41, 2 Ho 3.39, 1 Nd 3.57
Ho 0.2731 0.8165 0.5000  4 Dy 3.32-3.41, 2 Ho 3.39, 1 Nd 3.57
Ho 0.7269 0.1835 0.5000  4 Dy 3.32-3.41, 2 Ho 3.39, 1 Nd 3.57
Ho 0.7731 0.6835 0.0000  4 Dy 3.32-3.41, 2 Ho 3.39, 1 Nd 3.57

Computed properties:
Space-group type: Pnnm (58)
ΔH_f (0 K) (meV per atom): 277
Total magnetic moment (μB/atom): 0.00

***

Entry 3:
Density functional theory data (PBE-GGA) for a relaxed Tb6Ge2SbS3 crystal.

a = 9.1571 Å, b = 9.1571 Å, c = 8.2105 Å
α = 102.26°, β = 102.26°, γ = 25.98°
Closest atoms and distances in Å follow each position.
Fractional positions:
Tb 0.0019 0.0019 0.2660  3 S 2.82-2.92, 1 Ge 2.87, 2 Sb 3.00
Tb 0.3274 0.3274 0.9083  3 S 2.82-2.94, 2 Ge 2.88, 1 Sb 3.01
Tb 0.3321 0.3321 0.4167  3 Ge 2.88-2.90, 3 S 2.92
Tb 0.6679 0.6679 0.5833  3 Ge 2.88-2.90, 3 S 2.92
Tb 0.6726 0.6726 0.0917  3 S 2.82-2.94, 2 Ge 2.88, 1 Sb 3.01
Tb 0.9981 0.9981 0.7340  3 S 2.82-2.92, 1 Ge 2.87, 2 Sb 3.00
Ge 0.1668 0.1668 0.3346  6 Tb 2.87-2.90
Ge 0.8332 0.8332 0.6654  6 Tb 2.87-2.90
Sb 0.5000 0.5000 0.0000  6 Tb 3.00-3.01
S 0.1653 0.1653 0.8338  6 Tb 2.82-2.94
S 0.5000 0.5000 0.5000  6 Tb 2.82-2.92
S 0.8347 0.8347 0.1662  6 Tb 2.82-2.94

Computed properties:
Space-group type: C2/m (12)
E_form (uncorrected) (eV per atom): -1.49
Total magnetic moment (μB/atom): 0.00

***

Entry 4:
Density functional theory data (PBE-GGA) for a relaxed Pm3Sm3Dy4 crystal.

a = 3.6994 Å, b = 9.5516 Å, c = 9.5516 Å
α = 90.03°, β = 90.00°, γ = 90.00°
Closest atoms and distances in Å follow each position.
Fractional positions:
Pm 0.0000 0.0000 0.0000  6 Dy 3.30-3.43
Pm 0.5000 0.1747 0.6734  4 Pm 3.70-3.99, 4 Dy 3.77-3.79, 6 Sm 3.98-3.99
Pm 0.5000 0.6734 0.1747  4 Pm 3.70-3.99, 4 Dy 3.77-3.79, 6 Sm 3.98-3.99
Sm 0.0000 0.3484 0.3484  6 Dy 3.29-3.43
Sm 0.0000 0.5000 0.8482  6 Dy 3.30-3.43
Sm 0.0000 0.8482 0.5000  6 Dy 3.30-3.43
Dy 0.5000 0.0505 0.2985  4 Sm 3.30-3.43, 1 Dy 3.35, 2 Pm 3.43
Dy 0.5000 0.2985 0.0505  4 Sm 3.30-3.43, 1 Dy 3.35, 2 Pm 3.43
Dy 0.5000 0.5502 0.5502  6 Sm 3.29-3.43, 1 Dy 3.34
Dy 0.5000 0.7978 0.7978  2 Pm 3.30, 1 Dy 3.34, 4 Sm 3.43

Computed properties:
Space-group type: Amm2 (38)
ΔH_f (0 K) (meV per atom): 93
Total magnetic moment (μB/atom): 0.00